# LiBe2Si2

A geometry-optimized LiBe2Si2 structure (GGA-PBE, the Alexandria database).

a = 4.826 Å, b = 5.450 Å, c = 5.956 Å
α = 78.99°, β = 71.93°, γ = 62.29°
Element x y z (fractional)
Si (0.490, 0.607, 0.739)
Si (0.510, 0.393, 0.261)
Si (0.112, 0.228, 0.225)
Si (0.888, 0.772, 0.775)
Li (0.183, 0.213, 0.703)
Li (0.817, 0.787, 0.297)
Be (0.241, 0.813, 0.440)
Be (0.571, 0.181, 0.944)
Be (0.429, 0.819, 0.056)
Be (0.759, 0.187, 0.560)

Computed properties:
Its offset from the most stable computed form is 0.40 eV per formula unit. The value obtained for the calculated volume is 131.6 Å³ per cell. The density comes out at 2.05 Mg/m³. The value obtained for the density of states at the Fermi level is 1.609 states/eV/cell. The space group is P-1. Its uncorrected formation energy is 0.065 eV per atom. The total magnetization is 0.00 μB per formula unit.